Version P
Compound: KGa4Au2
Source: Alexandria
Functional: PBE
Structure: relaxed

CIF file:
```
data_KGa4Au2
_chemical_formula_sum 'K2 Ga8 Au4'
_cell_length_a 4.686
_cell_length_b 14.856
_cell_length_c 4.441
_cell_angle_alpha 90.00
_cell_angle_beta 90.00
_cell_angle_gamma 90.00
_symmetry_space_group_name_H-M 'C m m m'
_symmetry_Int_Tables_number 65
_symmetry_space_group_name_Hall '-C 2 2'
loop_
_atom_site_label
_atom_site_fract_x
_atom_site_fract_y
_atom_site_fract_z
_atom_site_occupancy
K1 0.000 0.000 0.000 1
Ga1 0.000 0.181 0.500 1
Ga2 0.000 0.302 0.000 1
Au1 0.000 0.406 0.500 1
```


Version Q
Compound: KGa4Au2
Source: Alexandria
Functional: PBE
Structure: relaxed

CIF file:
```
data_KGa4Au2
_chemical_formula_sum 'K4 Ga16 Au8'
_cell_length_a 17.798
_cell_length_b 4.455
_cell_length_c 7.695
_cell_angle_alpha 90.00
_cell_angle_beta 90.00
_cell_angle_gamma 90.00
_symmetry_space_group_name_H-M 'P n m a'
_symmetry_Int_Tables_number 62
_symmetry_space_group_name_Hall '-P 2ac 2n'
loop_
_atom_site_label
_atom_site_fract_x
_atom_site_fract_y
_atom_site_fract_z
_atom_site_occupancy
K1 0.113 0.250 0.010 1
Ga1 0.047 0.750 0.712 1
Ga2 0.091 0.250 0.479 1
Ga3 0.192 0.750 0.332 1
Ga4 0.198 0.750 0.717 1
Au1 0.037 0.750 0.322 1
Au2 0.235 0.250 0.531 1
```


Quick one: least stable of them? version P


Version P
Compound: K2Ga2Au
Source: Alexandria
Functional: PBE
Structure: relaxed

CIF file:
```
data_K2Ga2Au
_chemical_formula_sum 'K8 Ga8 Au4'
_cell_length_a 10.590
_cell_length_b 8.063
_cell_length_c 7.516
_cell_angle_alpha 90.00
_cell_angle_beta 90.00
_cell_angle_gamma 90.00
_symmetry_space_group_name_H-M 'C m c m'
_symmetry_Int_Tables_number 63
_symmetry_space_group_name_Hall '-C 2c 2'
loop_
_atom_site_label
_atom_site_fract_x
_atom_site_fract_y
_atom_site_fract_z
_atom_site_occupancy
K1 0.192 0.000 0.000 1
Ga1 0.000 0.341 0.086 1
Au1 0.000 0.353 0.750 1
```


Version Q
Compound: K2Ga2Au
Source: Alexandria
Functional: PBE
Structure: relaxed

CIF file:
```
data_K2Ga2Au
_chemical_formula_sum 'K8 Ga8 Au4'
_cell_length_a 4.602
_cell_length_b 4.602
_cell_length_c 35.946
_cell_angle_alpha 90.00
_cell_angle_beta 90.00
_cell_angle_gamma 90.00
_symmetry_space_group_name_H-M 'I 41/a m d'
_symmetry_Int_Tables_number 141
loop_
_symmetry_equiv_pos_as_xyz
'x,y,z'
'-x,-y,-z'
'-y+1/4,x+3/4,z+1/4'
'y+1/4,-x+3/4,-z+1/4'
'-x+1/2,-y,z+1/2'
'x+1/2,y,-z+1/2'
'y+1/4,-x+1/4,z+3/4'
'-y+1/4,x+1/4,-z+3/4'
'x,-y,-z'
'-x,y,z'
'-y+1/4,-x+1/4,-z+3/4'
'y+1/4,x+1/4,z+3/4'
'-x+1/2,y,-z+1/2'
'x+1/2,-y,z+1/2'
'y+1/4,x+3/4,-z+1/4'
'-y+1/4,-x+3/4,z+1/4'
'x+1/2,y+1/2,z+1/2'
'-x+1/2,-y+1/2,-z+1/2'
'-y+3/4,x+1/4,z+3/4'
'y+3/4,-x+1/4,-z+3/4'
'-x,-y+1/2,z'
'x,y+1/2,-z'
'y+3/4,-x+3/4,z+1/4'
'-y+3/4,x+3/4,-z+1/4'
'x+1/2,-y+1/2,-z+1/2'
'-x+1/2,y+1/2,z+1/2'
'-y+3/4,-x+3/4,-z+1/4'
'y+3/4,x+3/4,z+1/4'
'-x,y+1/2,-z'
'x,-y+1/2,z'
'y+3/4,x+1/4,-z+3/4'
'-y+3/4,-x+1/4,z+3/4'
loop_
_atom_site_label
_atom_site_fract_x
_atom_site_fract_y
_atom_site_fract_z
_atom_site_occupancy
K1 0.000 0.250 0.052 1
Ga1 0.000 0.250 0.156 1
Au1 0.000 0.250 0.375 1
```


Quick one: least stable of them? version Q


Version P
Compound: KGaAu4
Source: Alexandria
Functional: PBE
Structure: relaxed

CIF file:
```
data_KGaAu4
_chemical_formula_sum 'K4 Ga4 Au16'
_cell_length_a 13.317
_cell_length_b 6.360
_cell_length_c 6.652
_cell_angle_alpha 90.00
_cell_angle_beta 92.77
_cell_angle_gamma 90.00
_symmetry_space_group_name_H-M 'C 1 2/m 1'
_symmetry_Int_Tables_number 12
_symmetry_space_group_name_Hall '-C 2y'
loop_
_atom_site_label
_atom_site_fract_x
_atom_site_fract_y
_atom_site_fract_z
_atom_site_occupancy
K1 0.218 0.000 0.357 1
Ga1 0.046 0.500 0.222 1
Au1 0.000 0.224 0.500 1
Au2 0.093 0.221 0.888 1
Au3 0.227 0.500 0.123 1
```


Version Q
Compound: KGaAu4
Source: Alexandria
Functional: PBE
Structure: relaxed

CIF file:
```
data_KGaAu4
_chemical_formula_sum 'K4 Ga4 Au16'
_cell_length_a 8.066
_cell_length_b 8.066
_cell_length_c 8.066
_cell_angle_alpha 90.00
_cell_angle_beta 90.00
_cell_angle_gamma 90.00
_symmetry_space_group_name_H-M 'F -4 3 m'
_symmetry_Int_Tables_number 216
_symmetry_space_group_name_Hall 'F -4 2 3'
loop_
_atom_site_label
_atom_site_fract_x
_atom_site_fract_y
_atom_site_fract_z
_atom_site_occupancy
K1 0.000 0.000 0.000 1
Ga1 0.250 0.250 0.250 1
Au1 0.125 0.125 0.625 1
```


Quick one: least stable of them? version Q


Version P
Compound: KGa4Au6
Source: Alexandria
Functional: PBE
Structure: relaxed

CIF file:
```
data_KGa4Au6
_chemical_formula_sum 'K1 Ga4 Au6'
_cell_length_a 6.808
_cell_length_b 6.812
_cell_length_c 6.877
_cell_angle_alpha 116.82
_cell_angle_beta 116.91
_cell_angle_gamma 92.82
_symmetry_space_group_name_H-M 'P 1'
_symmetry_Int_Tables_number 1
_symmetry_space_group_name_Hall 'P 1'
loop_
_atom_site_label
_atom_site_fract_x
_atom_site_fract_y
_atom_site_fract_z
_atom_site_occupancy
K1 0.000 0.000 0.000 1
Ga1 0.106 0.496 0.941 1
Ga2 0.464 0.466 0.584 1
Ga3 0.498 0.108 0.945 1
Ga4 0.853 0.853 0.389 1
Au1 0.003 0.529 0.504 1
Au2 0.198 0.198 0.621 1
Au3 0.451 0.766 0.987 1
Au4 0.516 0.518 0.274 1
Au5 0.530 0.004 0.505 1
Au6 0.765 0.451 0.986 1
```


Version Q
Compound: KGa4Au6
Source: Alexandria
Functional: PBE
Structure: relaxed

CIF file:
```
data_KGa4Au6
_chemical_formula_sum 'K1 Ga4 Au6'
_cell_length_a 7.5458
_cell_length_b 7.5458
_cell_length_c 4.4038
_cell_angle_alpha 90.00
_cell_angle_beta 90.00
_cell_angle_gamma 120.00
_symmetry_space_group_name_H-M 'P -6 m 2'
_symmetry_Int_Tables_number 187
_symmetry_space_group_name_Hall 'P -6 2'
loop_
_atom_site_label
_atom_site_fract_x
_atom_site_fract_y
_atom_site_fract_z
_atom_site_occupancy
K1 0.0000 0.0000 0.0000 1
Ga1 0.1986 0.3972 0.5000 1
Ga2 0.6667 0.3333 0.0000 1
Au1 0.0731 0.5366 0.0000 1
Au2 0.4003 0.2002 0.5000 1
```


Quick one: least stable of them? version P